1.
# BeIn2GaN

A relaxed structure of BeIn2GaN (PBE, the Alexandria database).

**Spin magnetization**: 0.00 μB per cell
**Formation energy without anion corrections**: 118 meV/atom
**Fermi-level density of states**: 0.290 states/eV per atom

Cell lengths 5.6127, 5.6127, 3.0446 Å; angles 90.00, 90.00, 90.00 degrees
Space group P4/mmm (No. 123)
Symmetry-distinct sites (fractional):
Be 0.0000 0.0000 0.0000 x1
In 0.0000 0.5000 0.0000 x2
Ga 0.5000 0.5000 0.5000 x1
N 0.0000 0.0000 0.5000 x1

=====

2.
# LiSe2Cl

A relaxed structure of LiSe2Cl (PBE, the Alexandria database).

**Spin magnetization**: 0.00 μB per cell
**Energy above the most stable polymorph in this dataset**: 0.059 eV/atom
**Formation energy without anion corrections**: -710 meV/atom
**Fermi-level density of states**: 0.490 states/eV per atom

Cell lengths 3.6652, 3.6812, 8.6853 Å; angles 90.00, 90.00, 90.00 degrees
Space group Pmmm (No. 47)
Symmetry-distinct sites (fractional):
Li 0.0000 0.0000 0.0000 x1
Se 0.0000 0.5000 0.5000 x1
Se 0.5000 0.0000 0.5000 x1
Cl 0.5000 0.5000 0.0000 x1

=====

3.
# OsPb2W

A relaxed structure of OsPb2W (PBE, the Alexandria database).

**Spin magnetization**: 0.00 μB per cell
**Energy above the most stable polymorph in this dataset**: 0.251 eV/atom
**ΔE_f**: 629 meV/atom
**Fermi-level density of states**: 0.357 states/eV per atom

Cell lengths 8.3200, 3.1690, 7.5938 Å; angles 90.00, 96.99, 90.00 degrees
Space group Cm (No. 8)
Symmetry-distinct sites (fractional):
Os 0.0000 0.0000 0.0000 x2
Pb 0.2564 0.0000 0.7427 x2
Pb 0.4694 0.0000 0.3587 x2
W 0.2256 0.5000 0.1012 x2

=====

4.
# CdAs4O16

A relaxed structure of CdAs4O16 (PBE, the Alexandria database).

**Spin magnetization**: 9.92 μB per cell
**Formation energy without anion corrections**: -267 meV/atom
**Fermi-level density of states**: 0.284 states/eV per atom

Cell lengths 5.8548, 5.8599, 9.5148 Å; angles 107.46, 91.58, 95.45 degrees
Space group P-1 (No. 2)
Symmetry-distinct sites (fractional):
Cd 0.0000 0.0000 0.0000 x1
As 0.0652 0.1448 0.6431 x2
As 0.4934 0.7072 0.7898 x2
O 0.1034 0.8953 0.2171 x2
O 0.1131 0.4476 0.6303 x2
O 0.1717 0.9023 0.5075 x2
O 0.2215 0.7116 0.8560 x2
O 0.3052 0.2663 0.0750 x2
O 0.3313 0.2010 0.7710 x2
O 0.4496 0.0869 0.3134 x2
O 0.4875 0.4282 0.6473 x2

=====

5.
# Th2Be3Cu12Rh

A relaxed structure of Th2Be3Cu12Rh (PBE, the Alexandria database).

**Spin magnetization**: 0.00 μB per cell
**ΔE_f**: 292 meV/atom
**Fermi-level density of states**: 0.612 states/eV per atom

Cell lengths 7.0359, 7.0359, 19.8296 Å; angles 90.00, 90.00, 120.00 degrees
Space group R-3m (No. 166, hexagonal axes)
Symmetry-distinct sites (fractional):
Th 0.0000 0.0000 0.0887 x6
Be 0.0000 0.5000 0.0000 x9
Cu 0.0908 0.5454 0.8824 x18
Cu 0.0977 0.5488 0.2737 x18
Rh 0.0000 0.0000 0.5000 x3

=====

6.
# LiHf2W

A relaxed structure of LiHf2W (PBE, the Alexandria database).

**Spin magnetization**: 0.00 μB per cell
**ΔE_f**: 688 meV/atom
**Fermi-level density of states**: 0.523 states/eV per atom

Cell lengths 7.2290, 7.2290, 5.7446 Å; angles 90.00, 90.00, 90.00 degrees
Space group I-42d (No. 122)
Symmetry-distinct sites (fractional):
Li 0.0000 0.0000 0.0000 x4
Hf 0.2354 0.2500 0.1250 x8
W 0.0000 0.0000 0.5000 x4

=====

7.
# RbCr2CdW

A relaxed structure of RbCr2CdW (PBE, the Alexandria database).

**Spin magnetization**: 6.60 μB per cell
**ΔE_f**: 2913 meV/atom
**Fermi-level density of states**: 0.698 states/eV per atom

Cell lengths 5.1301, 5.1301, 5.1274 Å; angles 90.00, 90.00, 90.00 degrees
Space group P4/mmm (No. 123)
Symmetry-distinct sites (fractional):
Rb 0.0000 0.0000 0.0000 x1
Cr 0.0000 0.5000 0.0000 x2
Cd 0.5000 0.5000 0.5000 x1
W 0.0000 0.0000 0.5000 x1

=====

8.
# CrTeRh

A relaxed structure of CrTeRh (PBE, the Alexandria database).

**Spin magnetization**: 4.84 μB per cell
**Formation energy without anion corrections**: 318 meV/atom
**Fermi-level density of states**: 0.828 states/eV per atom

Cell lengths 7.1116, 3.0064, 5.6679 Å; angles 90.00, 96.60, 90.00 degrees
Space group Cm (No. 8)
Symmetry-distinct sites (fractional):
Cr 0.0000 0.0000 0.0000 x2
Te 0.2317 0.5000 0.3124 x2
Rh 0.1966 0.5000 0.7713 x2

=====

9.
# Ac4Br2N3

A relaxed structure of Ac4Br2N3 (PBE, the Alexandria database).

**Spin magnetization**: 7.27 μB per cell
**Formation energy without anion corrections**: -1069 meV/atom
**Fermi-level density of states**: 0.363 states/eV per atom

Cell lengths 6.5527, 11.3898, 28.5879 Å; angles 90.00, 90.00, 90.00 degrees
Space group Fddd (No. 70, origin choice 2)
Symmetry-distinct sites (fractional):
Ac 0.1231 0.2915 0.0692 x32
Br 0.1250 0.1250 0.5332 x16
N 0.1250 0.1250 0.1250 x8
N 0.1250 0.1250 0.3764 x16

=====

10.
# Rb3CuIr

A relaxed structure of Rb3CuIr (PBE, the Alexandria database).

**Spin magnetization**: 1.00 μB per cell
**Energy above the most stable polymorph in this dataset**: 0.000 eV/atom
**ΔE_f**: 880 meV/atom
**Fermi-level density of states**: 0.557 states/eV per atom

Cell lengths 6.3392, 6.3392, 6.3392 Å; angles 90.00, 90.00, 90.00 degrees
Space group Pm-3m (No. 221)
Symmetry-distinct sites (fractional):
Rb 0.0000 0.0000 0.5000 x3
Cu 0.5000 0.5000 0.5000 x1
Ir 0.0000 0.0000 0.0000 x1

=====

11.
# Ce3PmN4

A relaxed structure of Ce3PmN4 (PBE, the Alexandria database).

**Spin magnetization**: 1.76 μB per cell
**Energy above the most stable polymorph in this dataset**: 0.000 eV/atom
**Formation energy without anion corrections**: -1491 meV/atom
**Fermi-level density of states**: 0.946 states/eV per atom

Cell lengths 7.1605, 10.1227, 3.5805 Å; angles 90.00, 90.00, 90.00 degrees
Space group Cmmm (No. 65)
Symmetry-distinct sites (fractional):
Ce 0.0000 0.0000 0.0000 x2
Ce 0.2500 0.2500 0.5000 x4
Pm 0.0000 0.5000 0.0000 x2
N 0.0000 0.2467 0.0000 x4
N 0.2419 0.0000 0.5000 x4

=====

12.
# Er3Mg2Cd8

A relaxed structure of Er3Mg2Cd8 (PBE, the Alexandria database).

**Spin magnetization**: 0.00 μB per cell
**ΔE_f**: -27 meV/atom
**Fermi-level density of states**: 0.707 states/eV per atom

Cell lengths 5.7912, 5.7912, 33.8599 Å; angles 90.00, 90.00, 120.00 degrees
Space group R-3m (No. 166, hexagonal axes)
Symmetry-distinct sites (fractional):
Er 0.0000 0.0000 0.0000 x3
Er 0.0000 0.0000 0.1853 x6
Mg 0.0000 0.0000 0.3626 x6
Cd 0.0000 0.0000 0.2807 x6
Cd 0.0006 0.5003 0.7694 x18

=====

13.
# KTlSi2Rh

A relaxed structure of KTlSi2Rh (PBE, the Alexandria database).

**Spin magnetization**: 0.89 μB per cell
**Formation energy without anion corrections**: 1535 meV/atom
**Fermi-level density of states**: 1.337 states/eV per atom

Cell lengths 5.1820, 5.1820, 5.8390 Å; angles 90.00, 90.00, 90.00 degrees
Space group P4/mmm (No. 123)
Symmetry-distinct sites (fractional):
K 0.0000 0.0000 0.0000 x1
Tl 0.0000 0.0000 0.5000 x1
Si 0.0000 0.5000 0.5000 x2
Rh 0.5000 0.5000 0.0000 x1